Entry 1:
# PBE-GGA KBeBi2Rh, optimized geometry
# * E_tot: -3.82 eV per atom
# * spin magnetization: 0.000 μB/atom
data_KBeBi2Rh
_space_group_name_H-M_alt 'P 4/m m m'
_space_group_IT_number 123
_space_group_name_Hall '-P 4 2'
_cell_length_a 5.469
_cell_length_b 5.469
_cell_length_c 4.481
_cell_angle_alpha 90.00
_cell_angle_beta 90.00
_cell_angle_gamma 90.00
loop_
_atom_site_label
_atom_site_fract_x
_atom_site_fract_y
_atom_site_fract_z
K1 0.000 0.000 0.000
Be1 0.500 0.500 0.000
Bi1 0.000 0.500 0.500
Rh1 0.500 0.500 0.500

---

Entry 2:
# PBE-GGA Sb3AuI, optimized geometry
# * E_tot: -3.36 eV per atom
# * energy relative to the elements, uncorrected: 0.08 eV per atom
# * spin magnetization: 0.000 μB/atom
data_Sb3AuI
_space_group_name_H-M_alt 'C 1 2/m 1'
_space_group_IT_number 12
_cell_length_a 13.072
_cell_length_b 6.380
_cell_length_c 9.258
_cell_angle_alpha 90.00
_cell_angle_beta 118.78
_cell_angle_gamma 90.00
loop_
_space_group_symop_operation_xyz
'x,y,z'
'-x,-y,-z'
'-x,y,-z'
'x,-y,z'
'x+1/2,y+1/2,z'
'-x+1/2,-y+1/2,-z'
'-x+1/2,y+1/2,-z'
'x+1/2,-y+1/2,z'
loop_
_atom_site_label
_atom_site_fract_x
_atom_site_fract_y
_atom_site_fract_z
Sb1 0.071 0.000 0.300
Sb2 0.179 0.224 0.816
Au1 0.120 0.000 0.047
I1 0.137 0.500 0.408

---

Entry 3:
# PBE-GGA ZrInBr2, optimized geometry
# * E_tot: -4.42 eV per atom
# * energy relative to the elements, uncorrected: -0.76 eV per atom
# * spin magnetization: 0.000 μB/atom
data_ZrInBr2
_space_group_name_H-M_alt 'R -3 m'
_space_group_IT_number 166
_space_group_name_Hall '-R 3 2"'
_cell_length_a 3.4650
_cell_length_b 3.4650
_cell_length_c 31.9365
_cell_angle_alpha 90.00
_cell_angle_beta 90.00
_cell_angle_gamma 120.00
loop_
_atom_site_label
_atom_site_fract_x
_atom_site_fract_y
_atom_site_fract_z
Zr1 0.0000 0.0000 0.0000
In1 0.0000 0.0000 0.5000
Br1 0.0000 0.0000 0.3942

---

Entry 4:
# PBE-GGA Ta4TePt, optimized geometry
# * E_tot: -9.02 eV per atom
# * energy relative to the elements, uncorrected: 0.41 eV per atom
# * spin magnetization: 0.000 μB/atom
data_Ta4TePt
_space_group_name_H-M_alt 'F -4 3 m'
_space_group_IT_number 216
_space_group_name_Hall 'F -4 2 3'
_cell_length_a 7.753
_cell_length_b 7.753
_cell_length_c 7.753
_cell_angle_alpha 90.00
_cell_angle_beta 90.00
_cell_angle_gamma 90.00
loop_
_atom_site_label
_atom_site_fract_x
_atom_site_fract_y
_atom_site_fract_z
Ta1 0.125 0.125 0.125
Te1 0.250 0.250 0.750
Pt1 0.000 0.000 0.500

---

Entry 5:
# PBE-GGA Tc2RhBr, optimized geometry
# * E_tot: -6.75 eV per atom
# * energy relative to the elements, uncorrected: 0.68 eV per atom
# * spin magnetization: 0.000 μB/atom
data_Tc2RhBr
_space_group_name_H-M_alt 'P 4/m m m'
_space_group_IT_number 123
_space_group_name_Hall '-P 4 2'
_cell_length_a 2.888
_cell_length_b 2.888
_cell_length_c 7.422
_cell_angle_alpha 90.00
_cell_angle_beta 90.00
_cell_angle_gamma 90.00
loop_
_atom_site_label
_atom_site_fract_x
_atom_site_fract_y
_atom_site_fract_z
Tc1 0.000 0.000 0.244
Rh1 0.500 0.500 0.000
Br1 0.500 0.500 0.500

---

Entry 6:
# PBE-GGA RbYIrC2, optimized geometry
# * E_tot: -4.21 eV per atom
# * spin magnetization: 0.559 μB/atom
data_RbYIrC2
_space_group_name_H-M_alt 'P 4/m m m'
_space_group_IT_number 123
_space_group_name_Hall '-P 4 2'
_cell_length_a 4.584
_cell_length_b 4.584
_cell_length_c 6.019
_cell_angle_alpha 90.00
_cell_angle_beta 90.00
_cell_angle_gamma 90.00
loop_
_atom_site_label
_atom_site_fract_x
_atom_site_fract_y
_atom_site_fract_z
Rb1 0.000 0.000 0.000
Y1 0.000 0.000 0.500
Ir1 0.500 0.500 0.000
C1 0.000 0.500 0.500

---

DOS at the Fermi energy
In order: 3.7, 4.0, 8.7, 25.1, 4.9, 7.5
Unit: states/eV/cell